# 1
Computed, not measured: a geometry-optimized CeSnGe2Ir5 structure at the PBE level of DFT.

Summary:
As for the density of states at the Fermi level: 8.175 states/eV/cell. For the total magnetization, the calculation gives 0.50 μB per formula unit. Its calculated formation energy is -207 meV per atom.

Unit cell a=3.977 b=3.977 c=11.466 alpha=90.00 beta=90.00 gamma=90.00
Positions (direct):
Ir1 0.000 0.500 0.838
Ir2 0.500 0.000 0.162
Ir3 0.000 0.500 0.162
Ir4 0.500 0.000 0.838
Ir5 0.500 0.500 0.500
Ce1 0.000 0.000 0.500
Ge1 0.500 0.500 0.287
Ge2 0.500 0.500 0.713
Sn1 0.000 0.000 0.000


# 2
Computed, not measured: a geometry-optimized Mg2SnAs2Rh5 structure at the PBE level of DFT.

Summary:
As for the density of states at the Fermi level: 7.788 states/eV/cell. For the total magnetization, the calculation gives 0.00 μB per formula unit. Its calculated formation energy is -499 meV per atom.

Unit cell a=3.644 b=9.470 c=9.470 alpha=90.00 beta=90.00 gamma=90.00
Positions (direct):
Rh1 0.500 0.927 0.207
Rh2 0.500 0.207 0.073
Rh3 0.500 0.073 0.793
Rh4 0.500 0.293 0.573
Rh5 0.500 0.427 0.293
Rh6 0.500 0.707 0.427
Rh7 0.500 0.500 0.000
Rh8 0.500 0.573 0.707
Rh9 0.500 0.793 0.927
Rh10 0.500 0.000 0.500
Sn1 0.000 0.000 0.000
Sn2 0.000 0.500 0.500
Mg1 0.000 0.829 0.671
Mg2 0.000 0.329 0.829
Mg3 0.000 0.171 0.329
Mg4 0.000 0.671 0.171
As1 0.000 0.872 0.372
As2 0.000 0.372 0.128
As3 0.000 0.128 0.628
As4 0.000 0.628 0.872


# 3
Computed, not measured: a geometry-optimized Rb2NdTmS4 structure at the PBE level of DFT.

Summary:
As for the density of states at the Fermi level: 0.000 states/eV/cell. For the total magnetization, the calculation gives 0.00 μB per formula unit. The formation energy without anion corrections comes out at -1.8297 eV/atom.

Unit cell a=4.126 b=7.151 c=8.062 alpha=107.17 beta=90.00 gamma=90.00
Positions (direct):
Tm1 0.000 0.000 0.000
S1 0.500 0.780 0.809
S2 0.500 0.220 0.191
S3 0.000 0.258 0.805
S4 0.000 0.742 0.195
Rb1 0.000 0.500 0.500
Rb2 0.500 0.000 0.500
Nd1 0.500 0.500 0.000


# 4
Computed, not measured: a geometry-optimized SbPb3Au structure at the PBE level of DFT.

Summary:
As for the density of states at the Fermi level: 3.462 states/eV/cell. For the total magnetization, the calculation gives 0.00 μB per formula unit. The formation energy without anion corrections comes out at 0.0209 eV/atom.

Unit cell a=7.458 b=7.458 c=7.458 alpha=99.44 beta=124.11 gamma=105.97
Positions (direct):
Pb1 0.999 0.241 0.257
Pb2 0.984 0.741 0.743
Pb3 0.505 0.717 0.690
Pb4 0.027 0.815 0.310
Pb5 0.505 0.315 0.288
Pb6 0.027 0.217 0.712
Au1 0.434 0.047 0.887
Au2 0.159 0.547 0.113
Sb1 0.617 0.339 0.778
Sb2 0.560 0.839 0.222


# 5
Computed, not measured: a geometry-optimized Sc5TcNi4 structure at the PBE level of DFT.

Summary:
As for the density of states at the Fermi level: 6.771 states/eV/cell. For the total magnetization, the calculation gives 0.00 μB per formula unit. Its calculated formation energy is -437 meV per atom.

Unit cell a=3.185 b=3.185 c=15.979 alpha=90.00 beta=90.00 gamma=90.00
Positions (direct):
Sc1 0.500 0.500 0.100
Sc2 0.500 0.500 0.300
Sc3 0.500 0.500 0.900
Sc4 0.500 0.500 0.500
Sc5 0.500 0.500 0.700
Ni1 0.000 0.000 0.204
Ni2 0.000 0.000 0.600
Ni3 0.000 0.000 0.400
Ni4 0.000 0.000 0.796
Tc1 0.000 0.000 0.000


# 6
Computed, not measured: a geometry-optimized Ta6Fe16Si7 structure at the PBE level of DFT.

Summary:
As for the density of states at the Fermi level: 24.573 states/eV/cell. For the total magnetization, the calculation gives 0.01 μB per formula unit. The formation energy without anion corrections comes out at -0.4653 eV/atom.

Unit cell a=7.916 b=7.916 c=7.916 alpha=60.00 beta=60.00 gamma=60.00
Positions (direct):
Si1 0.500 0.000 0.000
Si2 0.000 0.500 0.500
Si3 0.000 0.500 0.000
Si4 0.500 0.000 0.500
Si5 0.500 0.500 0.000
Si6 0.500 0.500 0.500
Si7 0.000 0.000 0.500
Fe1 0.173 0.480 0.173
Fe2 0.173 0.173 0.173
Fe3 0.859 0.380 0.380
Fe4 0.827 0.827 0.827
Fe5 0.380 0.380 0.380
Fe6 0.620 0.620 0.141
Fe7 0.520 0.827 0.827
Fe8 0.620 0.620 0.620
Fe9 0.620 0.141 0.620
Fe10 0.827 0.520 0.827
Fe11 0.380 0.859 0.380
Fe12 0.380 0.380 0.859
Fe13 0.480 0.173 0.173
Fe14 0.141 0.620 0.620
Fe15 0.173 0.173 0.480
Fe16 0.827 0.827 0.520
Ta1 0.797 0.797 0.203
Ta2 0.203 0.203 0.797
Ta3 0.797 0.203 0.203
Ta4 0.797 0.203 0.797
Ta5 0.203 0.797 0.203
Ta6 0.203 0.797 0.797


Copy entry 6 word for word.
Computed, not measured: a geometry-optimized Ta6Fe16Si7 structure at the PBE level of DFT.

Summary:
As for the density of states at the Fermi level: 24.573 states/eV/cell. For the total magnetization, the calculation gives 0.01 μB per formula unit. The formation energy without anion corrections comes out at -0.4653 eV/atom.

Unit cell a=7.916 b=7.916 c=7.916 alpha=60.00 beta=60.00 gamma=60.00
Positions (direct):
Si1 0.500 0.000 0.000
Si2 0.000 0.500 0.500
Si3 0.000 0.500 0.000
Si4 0.500 0.000 0.500
Si5 0.500 0.500 0.000
Si6 0.500 0.500 0.500
Si7 0.000 0.000 0.500
Fe1 0.173 0.480 0.173
Fe2 0.173 0.173 0.173
Fe3 0.859 0.380 0.380
Fe4 0.827 0.827 0.827
Fe5 0.380 0.380 0.380
Fe6 0.620 0.620 0.141
Fe7 0.520 0.827 0.827
Fe8 0.620 0.620 0.620
Fe9 0.620 0.141 0.620
Fe10 0.827 0.520 0.827
Fe11 0.380 0.859 0.380
Fe12 0.380 0.380 0.859
Fe13 0.480 0.173 0.173
Fe14 0.141 0.620 0.620
Fe15 0.173 0.173 0.480
Fe16 0.827 0.827 0.520
Ta1 0.797 0.797 0.203
Ta2 0.203 0.203 0.797
Ta3 0.797 0.203 0.203
Ta4 0.797 0.203 0.797
Ta5 0.203 0.797 0.203
Ta6 0.203 0.797 0.797


Please write out number 3 again, unchanged.
Computed, not measured: a geometry-optimized Rb2NdTmS4 structure at the PBE level of DFT.

Summary:
As for the density of states at the Fermi level: 0.000 states/eV/cell. For the total magnetization, the calculation gives 0.00 μB per formula unit. The formation energy without anion corrections comes out at -1.8297 eV/atom.

Unit cell a=4.126 b=7.151 c=8.062 alpha=107.17 beta=90.00 gamma=90.00
Positions (direct):
Tm1 0.000 0.000 0.000
S1 0.500 0.780 0.809
S2 0.500 0.220 0.191
S3 0.000 0.258 0.805
S4 0.000 0.742 0.195
Rb1 0.000 0.500 0.500
Rb2 0.500 0.000 0.500
Nd1 0.500 0.500 0.000